<1>
VASP calculation (PBEsol) on a relaxed structure of Re2NiBr.

The structure in POSCAR format:
```
Re2NiBr
1.0
-1.6411 -1.8735 -1.3104
0.8681 -3.0341 3.2509
-3.6541 1.5237 2.3978
Br Ni Re
1 1 2
Direct
0.5000 0.0000 0.5000
0.0000 0.5000 0.5000
0.0000 0.0000 0.0000
0.5000 0.5000 0.0000
```

Its calculated volume is 59 Å³/cell.

<2>
VASP calculation (PBEsol) on a relaxed structure of Re2NiBr.

The structure in POSCAR format:
```
Re2NiBr
1.0
3.0650 0.0022 0.0000
-0.0090 4.0900 0.0000
-1.5280 -2.0461 4.9060
Br Ni Re
1 1 2
Direct
0.0000 0.5000 0.0000
0.5000 0.0000 0.0000
0.0000 0.5000 0.5000
0.5000 0.0000 0.5000
```

Its calculated volume is 61 Å³/cell.

Which of them is most stable? Easy: <2>.

<1>
VASP calculation (PBEsol) on a relaxed structure of Mn3SiTc.

The structure in POSCAR format:
```
Mn3SiTc
1.0
4.0421 0.0000 0.0000
0.0000 4.0421 0.0000
0.0000 0.0000 4.0421
Si Mn Tc
1 3 1
Direct
0.0000 0.0000 0.0000
0.0000 0.5000 0.0000
0.0000 0.0000 0.5000
0.5000 0.0000 0.0000
0.5000 0.5000 0.5000
```

Its calculated volume is 66 Å³/cell.

<2>
VASP calculation (PBEsol) on a relaxed structure of Mn3SiTc.

The structure in POSCAR format:
```
Mn3SiTc
1.0
4.4205 0.0000 0.0000
0.0000 4.4205 0.0000
0.0000 0.0000 4.4205
Si Mn Tc
1 3 1
Direct
0.5000 0.5000 0.5000
0.0000 0.5000 0.0000
0.0000 0.0000 0.5000
0.5000 0.0000 0.0000
0.0000 0.0000 0.0000
```

Its calculated volume is 86 Å³/cell.

Which of them is most stable? Easy: <1>.

<1>
VASP calculation (PBEsol) on a relaxed structure of Co2HgSe.

The structure in POSCAR format:
```
Co2HgSe
1.0
3.0599 0.0000 0.0000
0.0000 4.3264 0.0000
0.0000 0.0000 4.3275
Co Hg Se
2 1 1
Direct
0.0000 0.0000 0.0000
0.0000 0.5000 0.5000
0.5000 0.5000 0.0000
0.5000 0.0000 0.5000
```

Its calculated volume is 57 Å³/cell.

<2>
VASP calculation (PBEsol) on a relaxed structure of Co2HgSe.

The structure in POSCAR format:
```
Co2HgSe
1.0
-0.7356 3.0758 -1.8285
-2.1048 -0.1078 -2.9838
-5.1282 1.7269 1.3188
Co Hg Se
2 1 1
Direct
0.2781 0.2781 0.1657
0.7219 0.7219 0.8343
0.5000 0.5000 0.5000
0.0000 0.0000 0.0000
```

Its calculated volume is 60 Å³/cell.

Which of them is most stable? Easy: <2>.

<1>
VASP calculation (PBEsol) on a relaxed structure of CuRhCl2.

The structure in POSCAR format:
```
CuRhCl2
1.0
3.1308 0.0000 0.0000
1.5654 4.5974 0.1558
1.5654 0.9042 4.5103
Rh Cu Cl
1 1 2
Direct
0.0000 0.5000 0.5000
0.5000 0.0000 0.0000
0.2545 0.7455 0.7455
0.7455 0.2545 0.2545
```

Its calculated volume is 64 Å³/cell.

<2>
VASP calculation (PBEsol) on a relaxed structure of CuRhCl2.

The structure in POSCAR format:
```
CuRhCl2
1.0
3.4090 0.0000 0.0000
1.7045 2.9522 0.0000
1.7045 0.9841 7.0229
Rh Cu Cl
1 1 2
Direct
0.2481 0.2481 0.2556
0.5045 0.5045 0.4865
0.9703 0.9703 0.0890
0.7770 0.7770 0.6689
```

Its calculated volume is 71 Å³/cell.

Which of them is most stable? Easy: <2>.